No. 1
This record from Alexandria describes Re2SeBr after structural relaxation. The functional is PBE.

Properties
- Symmetry: No. 225
- Calculated total energy: -6.285 eV/atom
- E above lowest polymorph: 1.0426 eV/atom
- Magnetic moment: 0.0 Bohr magnetons per cell

Lattice parameters (Å, degrees): 4.4662 4.4662 4.4662 60.00 60.00 60.00
Last column: nearest neighbours and their distance in Å.
Fractional positions:
Re (0.2500, 0.2500, 0.2500)  4 Se 2.73, 4 Br 2.73
Re (0.7500, 0.7500, 0.7500)  4 Br 2.73, 4 Se 2.73
Br (0.5000, 0.5000, 0.5000)  8 Re 2.73
Se (0.0000, 0.0000, 0.0000)  8 Re 2.73

***

No. 2
This record from Alexandria describes PmHoIrAu after structural relaxation. The functional is PBE.

Properties
- Symmetry: No. 38
- Calculated total energy: -6.151 eV/atom
- Calculated formation energy: -3.14 eV per formula unit
- E above lowest polymorph: 0.0000 eV/atom
- Magnetic moment: 0.0 Bohr magnetons per cell

Lattice parameters (Å, degrees): 3.8456 4.5667 5.6579 90.00 109.87 90.00
Last column: nearest neighbours and their distance in Å.
Fractional positions:
Ho (0.8639, 0.5000, 0.7278)  3 Au 3.00-3.02, 4 Ir 3.03
Ir (0.4108, 0.0000, 0.8215)  3 Pm 2.85-3.13, 2 Au 2.92, 4 Ho 3.03
Au (0.5824, 0.5000, 0.1649)  2 Ir 2.92, 3 Ho 3.00-3.02, 4 Pm 3.05
Pm (0.1429, 0.0000, 0.2858)  3 Ir 2.85-3.13, 4 Au 3.05

***

No. 3
This record from Alexandria describes CeErSN after structural relaxation. The functional is PBE.

Properties
- Symmetry: No. 160
- Calculated total energy: -7.534 eV/atom
- Magnetic moment: 0.4 Bohr magnetons per cell

Lattice parameters (Å, degrees): 3.6438 3.6439 6.6892 105.81 90.01 119.98
Last column: nearest neighbours and their distance in Å.
Fractional positions:
Ce (0.1073, 0.0336, 0.1563)  3 N 2.54, 1 S 2.85
S (0.3400, 0.4988, 0.8539)  3 Er 2.74, 3 Ce 2.85
Er (0.5815, 0.9814, 0.5779)  3 N 2.45, 2 S 2.74
N (0.8491, 0.5170, 0.3815)  3 Er 2.45, 3 Ce 2.54

***

No. 4
This record from Alexandria describes Li2ReTeC after structural relaxation. The functional is PBE.

Properties
- Symmetry: No. 123
- Calculated total energy: -5.619 eV/atom
- Magnetic moment: 0.0 Bohr magnetons per cell

Lattice parameters (Å, degrees): 4.2341 4.2341 4.0058 90.00 90.00 90.00
Last column: nearest neighbours and their distance in Å.
Fractional positions:
C (0.0000, 0.0000, 0.0000)  2 Re 2.00, 4 Li 2.12
Li (0.0000, 0.5000, 0.0000)  2 C 2.12
Re (0.0000, 0.0000, 0.5000)  2 C 2.00
Li (0.5000, 0.0000, 0.0000)  2 C 2.12
Te (0.5000, 0.5000, 0.5000)  8 Li 2.91, 4 Re 2.99

***

- Which value of magnetic moment does entry 1 give?
  0.0 Bohr magnetons per cell

***

Repeat the first record exactly.
This record from Alexandria describes Re2SeBr after structural relaxation. The functional is PBE.

Properties
- Symmetry: No. 225
- Calculated total energy: -6.285 eV/atom
- E above lowest polymorph: 1.0426 eV/atom
- Magnetic moment: 0.0 Bohr magnetons per cell

Lattice parameters (Å, degrees): 4.4662 4.4662 4.4662 60.00 60.00 60.00
Last column: nearest neighbours and their distance in Å.
Fractional positions:
Re (0.2500, 0.2500, 0.2500)  4 Se 2.73, 4 Br 2.73
Re (0.7500, 0.7500, 0.7500)  4 Br 2.73, 4 Se 2.73
Br (0.5000, 0.5000, 0.5000)  8 Re 2.73
Se (0.0000, 0.0000, 0.0000)  8 Re 2.73